1.
# LaZnCl GGA-PBE relaxed
# Space group: R-3m, No. 166
# Raw formation energy in eV per atom: -1.2200
# Energy above the most stable polymorph in this dataset in meV/atom: 0
data_LaZnCl
_space_group_name_H-M_alt 'P 1'
_space_group_IT_number 1
_cell_length_a 4.337
_cell_length_b 4.341
_cell_length_c 12.473
_cell_angle_alpha 58.57
_cell_angle_beta 79.99
_cell_angle_gamma 60.03
loop_
_space_group_symop_operation_xyz
'x,y,z'
loop_
_atom_site_label
_atom_site_type_symbol
_atom_site_fract_x
_atom_site_fract_y
_atom_site_fract_z
_atom_site_occupancy
La1 La 0.934 0.831 0.301 1
La2 La 0.066 0.169 0.699 1
Zn1 Zn 0.663 0.182 0.491 1
Zn2 Zn 0.337 0.818 0.509 1
Cl1 Cl 0.217 0.418 0.149 1
Cl2 Cl 0.783 0.582 0.851 1



2.
# Ac4Ag2IrPd GGA-PBE relaxed
# Space group: P2/m, No. 10
# Final energy in hartree per atom: -0.185
data_Ac4Ag2IrPd
_space_group_name_H-M_alt 'P 1'
_space_group_IT_number 1
_cell_length_a 4.437
_cell_length_b 7.682
_cell_length_c 8.054
_cell_angle_alpha 108.47
_cell_angle_beta 90.00
_cell_angle_gamma 90.00
loop_
_space_group_symop_operation_xyz
'x,y,z'
loop_
_atom_site_label
_atom_site_type_symbol
_atom_site_fract_x
_atom_site_fract_y
_atom_site_fract_z
_atom_site_occupancy
Ac1 Ac 0.500 0.249 0.220 1
Ac2 Ac 0.500 0.751 0.780 1
Ac3 Ac 0.000 0.270 0.783 1
Ac4 Ac 0.000 0.730 0.217 1
Ag1 Ag 0.500 0.000 0.500 1
Ag2 Ag 0.000 0.500 0.500 1
Ir1 Ir 0.500 0.500 0.000 1
Pd1 Pd 0.000 0.000 0.000 1



3.
# Rb4HfIr2 GGA-PBE relaxed
# Space group: I4/mmm, No. 139
# Final energy in hartree per atom: -0.108
data_Rb4HfIr2
_space_group_name_H-M_alt 'P 1'
_space_group_IT_number 1
_cell_length_a 6.668
_cell_length_b 6.668
_cell_length_c 9.520
_cell_angle_alpha 69.50
_cell_angle_beta 69.50
_cell_angle_gamma 90.00
loop_
_space_group_symop_operation_xyz
'x,y,z'
loop_
_atom_site_label
_atom_site_type_symbol
_atom_site_fract_x
_atom_site_fract_y
_atom_site_fract_z
_atom_site_occupancy
Ir1 Ir 0.571 0.571 0.859 1
Ir2 Ir 0.429 0.429 0.141 1
Hf1 Hf 0.000 0.000 0.000 1
Rb1 Rb 0.774 0.774 0.452 1
Rb2 Rb 0.226 0.226 0.548 1
Rb3 Rb 0.000 0.500 0.000 1
Rb4 Rb 0.500 0.000 0.000 1



4.
# Mg2SbF GGA-PBE relaxed
# Space group: R-3m, No. 166
# Raw formation energy in eV per atom: -1.4700
# Energy above the most stable polymorph in this dataset in meV/atom: 0
data_Mg2SbF
_space_group_name_H-M_alt 'P 1'
_space_group_IT_number 1
_cell_length_a 4.511
_cell_length_b 4.511
_cell_length_c 6.745
_cell_angle_alpha 70.46
_cell_angle_beta 70.46
_cell_angle_gamma 60.00
loop_
_space_group_symop_operation_xyz
'x,y,z'
loop_
_atom_site_label
_atom_site_type_symbol
_atom_site_fract_x
_atom_site_fract_y
_atom_site_fract_z
_atom_site_occupancy
Sb1 Sb 0.500 0.500 0.500 1
Mg1 Mg 0.101 0.101 0.696 1
Mg2 Mg 0.899 0.899 0.304 1
F1 F 0.000 0.000 0.000 1



5.
# Ac2DyAs3 GGA-PBE relaxed
# Space group: I4/mmm, No. 139
# Final energy in hartree per atom: -0.216
data_Ac2DyAs3
_space_group_name_H-M_alt 'P 1'
_space_group_IT_number 1
_cell_length_a 4.440
_cell_length_b 4.440
_cell_length_c 9.858
_cell_angle_alpha 103.02
_cell_angle_beta 103.02
_cell_angle_gamma 89.98
loop_
_space_group_symop_operation_xyz
'x,y,z'
loop_
_atom_site_label
_atom_site_type_symbol
_atom_site_fract_x
_atom_site_fract_y
_atom_site_fract_z
_atom_site_occupancy
Ac1 Ac 0.099 0.100 0.203 1
Ac2 Ac 0.770 0.771 0.545 1
Dy1 Dy 0.434 0.436 0.874 1
As1 As 0.934 0.936 0.874 1
As2 As 0.275 0.276 0.555 1
As3 As 0.594 0.595 0.193 1